A relaxed SmBiN2O crystal. Source: OQMD via LeMat-Bulk, functional PBE.

Volume in Å³ per cell: 74
SG: P4/mmm, No. 123
E in eV/atom: -6.241
Magnetization in μB/atom: 0.000

Cell: 4.212 4.212 4.173 Å, 90.00 90.00 90.00°
Atoms (fractional coordinates):
Sm1 0.000 0.000 0.000
Bi1 0.500 0.500 0.500
N1 0.000 0.500 0.500
N2 0.500 0.000 0.500
O1 0.500 0.500 0.000

A relaxed SmBiN2O crystal. Source: OQMD via LeMat-Bulk, functional PBE.

Volume in Å³ per cell: 154
SG: P1, No. 1
E in eV/atom: -6.658
Magnetization in μB/atom: 0.000

Cell: 5.792 5.894 6.134 Å, 61.85 63.19 60.60°
Atoms (fractional coordinates):
Sm1 0.000 0.000 0.000
Sm2 0.273 0.269 0.198
Bi1 0.501 0.464 0.543
Bi2 0.781 0.786 0.657
N1 0.177 0.608 0.371
N2 0.413 0.082 0.843
N3 0.659 0.426 0.834
N4 0.863 0.178 0.355
O1 0.073 0.662 0.868
O2 0.600 0.861 0.347